CaAuSe: optimized geometry, PBE-GGA. Values from VASP.

Output
* DFT total energy: -3.76 eV/atom
* crystal system: trigonal
* theoretical density: 7244 kg/m3
* energy relative to the elements, uncorrected: -81 kJ/mol of atoms
* energy above the lowest structure with this stoichiometry: 148 meV per atom

Structure (Quantum ESPRESSO input):
```
&SYSTEM
  ibrav = 0, nat = 3, ntyp = 3
/
ATOMIC_SPECIES
Se 78.96 Se.upf
Au 196.97 Au.upf
Ca 40.08 Ca.upf
ATOMIC_POSITIONS crystal
Se 0.6667 0.3333 0.7329
Au 0.0000 0.0000 0.9327
Ca 0.3333 0.6667 0.3344
CELL_PARAMETERS angstrom
4.4753 0.0000 0.0000
-2.2376 3.8757 0.0000
0.0000 0.0000 4.1763
```

Ce2PuSi2Pd2: optimized geometry, PBE-GGA. Values from VASP.

Output
* DFT total energy: -7.42 eV/atom
* crystal system: trigonal
* theoretical density: 9113 kg/m3
* energy relative to the elements, uncorrected: -62 kJ/mol of atoms

Structure (Quantum ESPRESSO input):
```
&SYSTEM
  ibrav = 0, nat = 7, ntyp = 4
/
ATOMIC_SPECIES
Si 28.09 Si.upf
Ce 140.12 Ce.upf
Pu 244.00 Pu.upf
Pd 106.42 Pd.upf
ATOMIC_POSITIONS crystal
Si 0.7397 0.7397 0.7810
Si 0.2603 0.2603 0.2190
Ce 0.1380 0.1380 0.5860
Ce 0.8620 0.8620 0.4140
Pu 0.0000 0.0000 0.0000
Pd 0.4047 0.4047 0.7860
Pd 0.5953 0.5953 0.2140
CELL_PARAMETERS angstrom
4.3080 0.0000 0.0000
2.1540 3.7308 0.0000
2.1540 1.2436 8.9930
```

- DFT total energy of number 2 (Ce2PuSi2Pd2)?
  -7.42 eV/atom

- Among the records above, which one has the lowest DFT total energy?
  Ce2PuSi2Pd2